# MnZn2Sn (PBE, optimized geometry)
# V   66.6 Å³ per cell
# Raw total energy   -15.32 eV per cell
# DFT formation energy   99 meV per atom
data_MnZn2Sn
_symmetry_space_group_name_H-M 'P 4/m m m'
_symmetry_Int_Tables_number 123
_symmetry_space_group_name_Hall '-P 4 2'
_cell_length_a 4.0309
_cell_length_b 4.0309
_cell_length_c 4.0974
_cell_angle_alpha 90.00
_cell_angle_beta 90.00
_cell_angle_gamma 90.00
loop_
_atom_site_label
_atom_site_type_symbol
_atom_site_fract_x
_atom_site_fract_y
_atom_site_fract_z
Mn1 Mn 0.0000 0.0000 0.0000
Zn1 Zn 0.0000 0.5000 0.5000
Sn1 Sn 0.5000 0.5000 0.0000